(1)
This record from Alexandria via LeMat-Bulk describes crystalline PrGdTl2 at its relaxed geometry. The functional is GGA-PBE.

extended XYZ file:
```
4
Lattice="0.000 3.887 3.887 3.887 0.000 3.887 3.887 3.887 0.000" Properties=species:S:1:pos:R:3 pbc="T T T"
Pr 0.000 0.000 0.000
Gd 3.887 3.887 3.887
Tl 1.944 1.944 1.944
Tl 5.831 5.831 5.831
```

Output
Energy of formation from the pure elements, meV per atom: -378
N(E_F), states/eV per cell: 3.4
Total magnetic moment, μB per atom: 1.8400
Relative energy among the computed polymorphs, meV per atom: 15
Volume, Å³/atom: 29.4

(2)
This record from Alexandria via LeMat-Bulk describes crystalline BaZnNi at its relaxed geometry. The functional is GGA-PBE.

extended XYZ file:
```
12
Lattice="6.723 0.000 0.000 0.000 6.723 0.000 0.000 0.000 6.723" Properties=species:S:1:pos:R:3 pbc="T T T"
Ba 1.062 1.062 1.062
Ba 2.300 5.661 4.423
Ba 4.423 2.300 5.661
Ba 5.661 4.423 2.300
Zn 1.029 2.333 4.390
Zn 2.333 4.390 1.029
Zn 4.390 1.029 2.333
Zn 5.694 5.694 5.694
Ni 0.526 3.888 6.197
Ni 2.835 2.835 2.835
Ni 3.888 6.197 0.526
Ni 6.197 0.526 3.888
```

Output
Energy of formation from the pure elements, meV per atom: -100
N(E_F), states/eV per cell: 7.9
Total magnetic moment, μB per atom: 0.0000
Volume, Å³/atom: 25.3

(3)
This record from Alexandria via LeMat-Bulk describes crystalline BaPbBr2 at its relaxed geometry. The functional is GGA-PBE.

extended XYZ file:
```
4
Lattice="4.539 0.000 0.000 0.000 4.539 0.000 0.000 0.000 7.240" Properties=species:S:1:pos:R:3 pbc="T T T"
Ba 0.000 0.000 0.000
Pb 2.270 2.270 4.972
Br 0.000 0.000 3.155
Br 2.270 2.270 0.804
```

Output
N(E_F), states/eV per cell: 3.3
Total magnetic moment, μB per atom: 0.0000
Relative energy among the computed polymorphs, meV per atom: 116
Volume, Å³/atom: 37.3

(4)
This record from Alexandria via LeMat-Bulk describes crystalline AgIrO2F at its relaxed geometry. The functional is GGA-PBE.

extended XYZ file:
```
5
Lattice="3.678 0.000 0.000 0.000 3.678 0.000 0.000 0.000 6.657" Properties=species:S:1:pos:R:3 pbc="T T T"
Ag 0.000 0.000 0.000
Ir 1.839 1.839 3.329
O 0.000 1.839 3.329
O 1.839 0.000 3.329
F 1.839 1.839 0.000
```

Output
N(E_F), states/eV per cell: 3.1
Total magnetic moment, μB per atom: 0.0751
Volume, Å³/atom: 18.0
VASP energy, eV per atom: -5.25

(5)
This record from Alexandria via LeMat-Bulk describes crystalline TlMoP2 at its relaxed geometry. The functional is GGA-PBE.

extended XYZ file:
```
4
Lattice="3.131 0.000 0.000 0.000 3.131 0.000 0.000 0.000 7.562" Properties=species:S:1:pos:R:3 pbc="T T T"
Tl 0.000 0.000 0.000
Mo 0.000 0.000 3.781
P 1.566 1.566 2.464
P 1.566 1.566 5.098
```

Output
Energy of formation from the pure elements, meV per atom: -84
N(E_F), states/eV per cell: 3.1
Total magnetic moment, μB per atom: 0.0000
Relative energy among the computed polymorphs, meV per atom: 4
Volume, Å³/atom: 18.5

(6)
This record from Alexandria via LeMat-Bulk describes crystalline W2SeBr at its relaxed geometry. The functional is GGA-PBE.

extended XYZ file:
```
4
Lattice="2.905 0.000 0.000 0.000 4.359 0.000 -1.320 0.000 6.008" Properties=species:S:1:pos:R:3 pbc="T T T"
W -0.289 0.000 1.725
W 1.874 0.000 4.283
Se -0.660 2.179 3.004
Br 0.000 2.179 0.000
```

Output
N(E_F), states/eV per cell: 3.4
Total magnetic moment, μB per atom: 0.0000
Relative energy among the computed polymorphs, meV per atom: 926
Volume, Å³/atom: 19.0